This record from the Alexandria database describes a relaxed structure of Sb2Rh. The functional is GGA-PBE.

Properties
As for the uncorrected formation energy: 510.1 meV per atom. Its symmetry is No. 194. For the spin magnetization, the calculation gives 0.00 μB/f.u.

Lattice parameters (Å, degrees): 5.9284 5.9284 10.9824 90.00 90.00 120.00
Closest atoms and distances in Å follow each position.
Fractional positions:
Rh: 0.6667 0.3333 0.4324  3 Sb 2.64
Rh: 0.3333 0.6667 0.5676  3 Sb 2.64
Rh: 0.6667 0.3333 0.0676  3 Sb 2.64
Rh: 0.3333 0.6667 0.9324  3 Sb 2.64
Sb: 0.3316 0.1658 0.2500  2 Rh 2.64, 2 Sb 2.95
Sb: 0.0000 0.0000 0.0000  6 Sb 3.23, 6 Rh 3.50
Sb: 0.0000 0.0000 0.5000  6 Sb 3.23, 6 Rh 3.50
Sb: 0.6684 0.8342 0.7500  2 Rh 2.64, 2 Sb 2.95
Sb: 0.8342 0.1658 0.2500  2 Rh 2.64, 2 Sb 2.95
Sb: 0.8342 0.6684 0.2500  2 Rh 2.64, 2 Sb 2.95
Sb: 0.1658 0.8342 0.7500  2 Rh 2.64, 2 Sb 2.95
Sb: 0.1658 0.3316 0.7500  2 Rh 2.64, 2 Sb 2.95